## MnTc2Au (GGA-PBEsol)

Data for an optimized crystal structure of MnTc2Au.

a = 6.150 Å, b = 6.150 Å, c = 6.150 Å
α = 90.00°, β = 90.00°, γ = 90.00°
Space group F-43m (No. 216)
Asymmetric unit:
Mn 0.000 0.000 0.000 (multiplicity 4)
Tc 0.000 0.000 0.500 (multiplicity 4)
Tc 0.250 0.250 0.250 (multiplicity 4)
Au 0.250 0.250 0.750 (multiplicity 4)

Summary:
Spin magnetization in μB per atom: 0.754
ΔE to the lowest computed polymorph in meV per atom: 88
Energy of formation from the pure elements in eV per atom: 0.419
Fermi-level density of states in states/eV/atom: 1.054